Computed, not measured: an optimized crystal structure of Sm2HoAl6 at the PBE level of DFT.

Properties
* E above lowest polymorph: 0.0 kJ/mol of atoms
* symmetry: P6/mmm
* formation energy from the elements: -0.484 eV per atom
* electronic total energy: -40.83 eV per cell

Lattice parameters (Å, degrees): 7.9518 7.9518 3.5509 90.00 90.00 120.00
Last column: nearest neighbours and their distance in Å.
Element x y z (fractional)
Sm (0.3333, 0.6667, 0.0000)  12 Al 3.20, 2 Sm 3.55
Sm (0.6667, 0.3333, 0.0000)  12 Al 3.20, 2 Sm 3.55
Ho (0.0000, 0.0000, 0.0000)  12 Al 3.18, 2 Ho 3.55
Al (0.0000, 0.3317, 0.5000)  3 Al 2.64-2.68
Al (0.0000, 0.6683, 0.5000)  3 Al 2.64-2.68
Al (0.3317, 0.0000, 0.5000)  3 Al 2.64-2.68
Al (0.3317, 0.3317, 0.5000)  3 Al 2.64-2.68
Al (0.6683, 0.0000, 0.5000)  3 Al 2.64-2.68
Al (0.6683, 0.6683, 0.5000)  3 Al 2.64-2.68

Computed, not measured: an optimized crystal structure of CoB at the PBE level of DFT.

Properties
* symmetry: Imm2
* formation energy from the elements: -0.141 eV per atom
* electronic total energy: -28.13 eV per cell

Lattice parameters (Å, degrees): 5.1185 5.1185 5.1185 150.48 149.97 42.61
Last column: nearest neighbours and their distance in Å.
Element x y z (fractional)
Co (0.0000, 0.0000, 0.0000)  6 B 2.04
Co (0.7503, 0.2503, 0.5000)  6 B 2.03-2.04
B (0.1639, 0.6639, 0.5000)  6 Co 2.03-2.04
B (0.4127, 0.4127, 0.0000)  6 Co 2.04

Computed, not measured: an optimized crystal structure of Tb2TcSn at the PBE level of DFT.

Properties
* symmetry: R-3m
* formation energy from the elements: 0.163 eV per atom
* electronic total energy: -22.98 eV per cell

Lattice parameters (Å, degrees): 10.7097 10.7097 10.7097 18.42 18.42 18.42
Last column: nearest neighbours and their distance in Å.
Element x y z (fractional)
Tb (0.1024, 0.1024, 0.1024)  3 Tc 2.84
Tb (0.8976, 0.8976, 0.8976)  3 Tc 2.84
Tc (0.5000, 0.5000, 0.5000)  6 Tb 2.84
Sn (0.0000, 0.0000, 0.0000)  2 Tb 3.23, 6 Sn 3.43

Computed, not measured: an optimized crystal structure of BAsAuBr2 at the PBE level of DFT.

Properties
* raw formation energy: 1.2871 eV/atom
* E above lowest polymorph: 40.0 kJ/mol of atoms
* symmetry: P4/mmm
* electronic total energy: -11.51 eV per cell

Lattice parameters (Å, degrees): 5.4312 5.4312 4.9763 90.00 90.00 90.00
Last column: nearest neighbours and their distance in Å.
Element x y z (fractional)
B (0.0000, 0.0000, 0.0000)  8 Br 3.68, 4 As 3.84
As (0.5000, 0.5000, 0.0000)  2 Au 2.49
Au (0.5000, 0.5000, 0.5000)  2 As 2.49, 4 Br 2.72
Br (0.0000, 0.5000, 0.5000)  2 Au 2.72
Br (0.5000, 0.0000, 0.5000)  2 Au 2.72

Computed, not measured: an optimized crystal structure of Be9VCr2 at the PBE level of DFT.

Properties
* symmetry: R-3m
* formation energy from the elements: -0.177 eV per atom
* electronic total energy: -64.02 eV per cell

Lattice parameters (Å, degrees): 7.1986 7.1986 7.1986 34.22 34.22 34.22
Last column: nearest neighbours and their distance in Å.
Element x y z (fractional)
Be (0.0000, 0.0000, 0.0000)  6 Be 2.09
Be (0.0862, 0.0862, 0.5795)  7 Be 2.09-2.15
Be (0.0862, 0.5795, 0.0862)  7 Be 2.09-2.15
Be (0.1660, 0.1660, 0.1660)  6 Be 2.10
Be (0.4205, 0.9138, 0.9138)  7 Be 2.09-2.15
Be (0.5795, 0.0862, 0.0862)  7 Be 2.09-2.15
Be (0.8340, 0.8340, 0.8340)  6 Be 2.10
Be (0.9138, 0.4205, 0.9138)  7 Be 2.09-2.15
Be (0.9138, 0.9138, 0.4205)  7 Be 2.09-2.15
V (0.5000, 0.5000, 0.5000)  18 Be 2.45-2.72
Cr (0.3537, 0.3537, 0.3537)  12 Be 2.42-2.48, 3 Cr 2.58
Cr (0.6463, 0.6463, 0.6463)  12 Be 2.42-2.48, 3 Cr 2.58

Computed, not measured: an optimized crystal structure of FeRuRh4 at the PBE level of DFT.

Properties
* E above lowest polymorph: 0.0 kJ/mol of atoms
* symmetry: Pmmm
* formation energy from the elements: 0.021 eV per atom
* electronic total energy: -47.02 eV per cell

Lattice parameters (Å, degrees): 2.7058 3.7809 8.1174 90.00 90.00 90.00
Last column: nearest neighbours and their distance in Å.
Element x y z (fractional)
Fe (0.0000, 0.0000, 0.0000)  10 Rh 2.67-2.71, 2 Fe 2.71
Ru (0.5000, 0.5000, 0.5000)  10 Rh 2.69-2.74, 2 Ru 2.71
Rh (0.0000, 0.0000, 0.3338)  4 Ru 2.69, 7 Rh 2.70-2.71, 1 Fe 2.71
Rh (0.0000, 0.0000, 0.6662)  4 Ru 2.69, 7 Rh 2.70-2.71, 1 Fe 2.71
Rh (0.5000, 0.5000, 0.1620)  7 Rh 2.63-2.71, 4 Fe 2.67, 1 Ru 2.74
Rh (0.5000, 0.5000, 0.8380)  7 Rh 2.63-2.71, 4 Fe 2.67, 1 Ru 2.74